Entry 1:
VASP calculation (GGA-PBE) on a relaxed structure of Li3In4Rh.

POSCAR file:
```
Li3In4Rh
1.0
-0.882 3.605 -2.860
-1.800 -2.950 -3.164
-4.611 0.385 5.747
In Li Rh
4 3 1
Direct
0.378 0.378 0.755
0.622 0.622 0.245
0.122 0.122 0.245
0.878 0.878 0.755
0.258 0.758 0.516
0.000 0.500 0.000
0.742 0.242 0.484
0.500 0.000 0.000
```

Values from the calculation:
- Uncorrected energy: -26.72 eV per cell
- Size of the total moment: 0.0 μB per cell
- Calculated formation energy: -7.715 kcal/mol of atoms

---

Entry 2:
VASP calculation (GGA-PBE) on a relaxed structure of LiInRh2.

POSCAR file:
```
LiInRh2
1.0
-3.475 0.030 -1.769
-0.939 -2.008 1.811
-2.665 1.940 5.269
Li In Rh
1 1 2
Direct
0.500 0.730 0.771
0.000 0.502 0.499
0.000 0.005 0.993
0.500 0.263 0.237
```

Values from the calculation:
- Uncorrected energy: -20.03 eV per cell
- Size of the total moment: 0.0 μB per cell
- Calculated formation energy: -3.882 kcal/mol of atoms

---

Entry 3:
VASP calculation (GGA-PBE) on a relaxed structure of LiInRh.

POSCAR file:
```
LiInRh
1.0
3.043 0.000 0.000
-1.522 2.635 0.000
0.000 0.000 6.546
Rh Li In
1 1 1
Direct
0.667 0.333 0.660
0.333 0.667 0.358
0.000 0.000 0.982
```

Values from the calculation:
- Uncorrected energy: -12.21 eV per cell
- Size of the total moment: 0.0 μB per cell
- Calculated formation energy: -1.611 kcal/mol of atoms